# PBE As2PbAu2, relaxed
# SG = I4/mmm
# VASP energy = -3.837 eV per atom
# DOS(E_F) = 2.3 states/eV/f.u.
# E_form = 0.076 eV per atom
data_As2PbAu2
_chemical_formula_sum 'As2 Pb1 Au2'
_cell_length_a 6.9633
_cell_length_b 6.9633
_cell_length_c 6.9633
_cell_angle_alpha 144.66
_cell_angle_beta 144.66
_cell_angle_gamma 50.84
_space_group_name_H-M_alt 'P 1'
_space_group_IT_number 1
loop_
_space_group_symop_operation_xyz
'x,y,z'
loop_
_atom_site_label
_atom_site_type_symbol
_atom_site_fract_x
_atom_site_fract_y
_atom_site_fract_z
As1 As 0.2500 0.7500 0.5000
As2 As 0.7500 0.2500 0.5000
Pb1 Pb 0.0000 0.0000 0.0000
Au1 Au 0.3913 0.3913 0.0000
Au2 Au 0.6087 0.6087 0.0000

# PBE TiInAg, relaxed
# SG = F-43m
# VASP energy = -4.146 eV per atom
# DOS(E_F) = 0.0 states/eV/f.u.
# E_form = 0.349 eV per atom
data_TiInAg
_chemical_formula_sum 'Ti1 In1 Ag1'
_cell_length_a 4.5456
_cell_length_b 4.5456
_cell_length_c 4.5456
_cell_angle_alpha 60.00
_cell_angle_beta 60.00
_cell_angle_gamma 60.00
_space_group_name_H-M_alt 'P 1'
_space_group_IT_number 1
loop_
_space_group_symop_operation_xyz
'x,y,z'
loop_
_atom_site_label
_atom_site_type_symbol
_atom_site_fract_x
_atom_site_fract_y
_atom_site_fract_z
Ti1 Ti 0.0000 0.0000 0.0000
In1 In 0.2500 0.2500 0.2500
Ag1 Ag 0.5000 0.5000 0.5000

# PBE TaNiAs2, relaxed
# SG = Immm
# VASP energy = -6.743 eV per atom
# DOS(E_F) = 3.4 states/eV/f.u.
# E_form = -0.009 eV per atom
data_TaNiAs2
_chemical_formula_sum 'Ta1 Ni1 As2'
_cell_length_a 4.8398
_cell_length_b 4.8398
_cell_length_c 4.8398
_cell_angle_alpha 138.37
_cell_angle_beta 122.45
_cell_angle_gamma 73.50
_space_group_name_H-M_alt 'P 1'
_space_group_IT_number 1
loop_
_space_group_symop_operation_xyz
'x,y,z'
loop_
_atom_site_label
_atom_site_type_symbol
_atom_site_fract_x
_atom_site_fract_y
_atom_site_fract_z
Ta1 Ta 0.0000 0.0000 0.0000
Ni1 Ni 0.5000 0.5000 0.0000
As1 As 0.2848 0.7848 0.5000
As2 As 0.7152 0.2152 0.5000

What did the second record say?
# PBE TiInAg, relaxed
# SG = F-43m
# VASP energy = -4.146 eV per atom
# DOS(E_F) = 0.0 states/eV/f.u.
# E_form = 0.349 eV per atom
data_TiInAg
_chemical_formula_sum 'Ti1 In1 Ag1'
_cell_length_a 4.5456
_cell_length_b 4.5456
_cell_length_c 4.5456
_cell_angle_alpha 60.00
_cell_angle_beta 60.00
_cell_angle_gamma 60.00
_space_group_name_H-M_alt 'P 1'
_space_group_IT_number 1
loop_
_space_group_symop_operation_xyz
'x,y,z'
loop_
_atom_site_label
_atom_site_type_symbol
_atom_site_fract_x
_atom_site_fract_y
_atom_site_fract_z
Ti1 Ti 0.0000 0.0000 0.0000
In1 In 0.2500 0.2500 0.2500
Ag1 Ag 0.5000 0.5000 0.5000